# 1
First-principles (PBE) data for an optimized crystal structure of Zr2Mn, as listed in the Alexandria database.

extended XYZ file:
```
9
Lattice="3.8216 -6.6192 0.0000 3.8216 6.6192 0.0000 0.0000 0.0000 3.4664" Properties=species:S:1:pos:R:3 pbc="T T T"
Zr 0.9683 1.6772 0.0000
Zr 2.2684 3.9290 1.7332
Zr 0.9683 -1.6772 0.0000
Zr 5.7065 0.0000 0.0000
Zr 2.2684 -3.9290 1.7332
Zr 3.1063 0.0000 1.7332
Mn 0.0000 0.0000 1.7332
Mn 3.8216 2.2064 0.0000
Mn 3.8216 -2.2064 0.0000
```

Output
Space-group type: P-62m


# 2
First-principles (PBE) data for an optimized crystal structure of ZrMn2, as listed in the Alexandria database.

extended XYZ file:
```
6
Lattice="4.9689 0.0000 0.0000 2.4845 4.3032 0.0000 2.4845 1.4344 4.0571" Properties=species:S:1:pos:R:3 pbc="T T T"
Mn 0.0000 0.0000 0.0000
Mn 1.2422 0.7172 2.0286
Mn 2.4845 2.8688 2.0286
Mn 3.7267 0.7172 2.0286
Zr 4.9689 2.8688 0.5071
Zr 4.9689 2.8688 3.5500
```

Output
Space-group type: Fd-3m


# 3
First-principles (PBE) data for an optimized crystal structure of ZrMn2, as listed in the Alexandria database.

extended XYZ file:
```
6
Lattice="1.5751 5.1315 0.1179 -1.5751 5.1315 0.1179 0.0000 1.9079 5.8612" Properties=species:S:1:pos:R:3 pbc="T T T"
Zr 0.0000 4.0646 1.8481
Zr 0.0000 8.1063 4.2489
Mn 0.0000 5.1697 4.9386
Mn 0.0000 7.0012 1.1584
Mn 0.0000 0.9539 2.9306
Mn 0.0000 0.0000 0.0000
```

Output
Space-group type: C2/m


# 4
First-principles (PBE) data for an optimized crystal structure of ZrMn2, as listed in the Alexandria database.

extended XYZ file:
```
6
Lattice="-1.2162 -5.6820 3.9988 2.2140 -2.2761 6.2985 -2.5435 5.2442 -3.9727" Properties=species:S:1:pos:R:3 pbc="T T T"
Zr -1.6304 -2.2084 2.5873
Zr 0.0000 0.0000 0.0000
Mn 0.5822 -4.6435 6.0085
Mn 0.4156 -3.3145 4.2888
Mn 0.1680 -1.1699 4.5970
Mn 0.0014 0.1590 2.8774
```

Output
Space-group type: I4_1/amd


# 5
First-principles (PBE) data for an optimized crystal structure of ZrMn2, as listed in the Alexandria database.

extended XYZ file:
```
9
Lattice="3.0650 -5.3087 0.0000 3.0650 5.3087 0.0000 0.0000 0.0000 4.6701" Properties=species:S:1:pos:R:3 pbc="T T T"
Zr 0.0000 0.0000 2.3351
Zr 3.0650 1.7696 0.0000
Zr 3.0650 -1.7696 0.0000
Mn 0.6666 1.1546 0.0000
Mn 1.5509 2.6863 2.3351
Mn 0.6666 -1.1546 0.0000
Mn 4.7967 0.0000 0.0000
Mn 1.5509 -2.6863 2.3351
Mn 3.0281 0.0000 2.3351
```

Output
Space-group type: P-62m


# 6
First-principles (PBE) data for an optimized crystal structure of ZrMn4, as listed in the Alexandria database.

extended XYZ file:
```
5
Lattice="-2.9554 2.9554 2.9554 2.9554 -2.9554 2.9554 2.9554 2.9554 -2.9554" Properties=species:S:1:pos:R:3 pbc="T T T"
Zr 0.0000 0.0000 0.0000
Mn -1.4777 1.4777 1.4777
Mn 1.4777 1.4777 1.4777
Mn 1.4777 -1.4777 1.4777
Mn 1.4777 1.4777 -1.4777
```

Output
Space-group type: Im-3m
E above lowest polymorph (meV/atom): 1320.2


# 7
First-principles (PBE) data for an optimized crystal structure of ZrMn4, as listed in the Alexandria database.

extended XYZ file:
```
5
Lattice="-2.7249 2.7249 2.2326 2.7249 -2.7249 2.2326 2.7249 2.7249 -2.2326" Properties=species:S:1:pos:R:3 pbc="T T T"
Zr 0.0000 0.0000 0.0000
Mn 1.6203 0.0011 2.2326
Mn 2.7261 1.1046 0.0000
Mn 1.1046 2.7238 0.0000
Mn -0.0011 1.6203 2.2326
```

Output
Space-group type: I4/mmm
E above lowest polymorph (meV/atom): 194.0


# 8
First-principles (PBE) data for an optimized crystal structure of ZrMn, as listed in the Alexandria database.

extended XYZ file:
```
12
Lattice="-2.2514 -6.1629 2.9194 6.6871 -1.3924 2.2175 -1.3369 3.4136 6.1752" Properties=species:S:1:pos:R:3 pbc="T T T"
Zr 2.7807 -2.2369 1.8386
Zr 1.6550 -5.3184 3.2983
Zr -1.4599 -2.2281 3.0035
Zr -2.1284 -0.5213 6.0911
Zr 1.0033 1.3587 3.6420
Zr 4.3469 0.6625 4.7507
Mn -1.2313 0.1661 3.8174
Mn -2.3570 -2.9154 5.2772
Mn 3.0093 0.1572 2.6525
Mn 2.3409 1.8640 5.7401
Mn 0.5461 -3.4296 2.0141
Mn 3.8896 -4.1258 3.1228
```

Output
Space-group type: Pm-3n


# 9
First-principles (PBE) data for an optimized crystal structure of ZrMn, as listed in the Alexandria database.

extended XYZ file:
```
4
Lattice="-2.2512 0.8844 -1.8135 -0.3223 -2.4677 1.7162 -3.6529 5.4944 7.2142" Properties=species:S:1:pos:R:3 pbc="T T T"
Mn -1.1483 -1.0750 0.9011
Mn -3.6177 2.7896 3.3317
Zr -2.1374 0.4128 2.8547
Zr -4.6069 4.2774 5.2852
```

Output
Space-group type: P6_3mc


# 10
First-principles (PBE) data for an optimized crystal structure of Zr5Mn, as listed in the Alexandria database.

extended XYZ file:
```
6
Lattice="0.0000 4.0977 4.0977 4.0977 0.0000 4.0977 4.0977 4.0977 0.0000" Properties=species:S:1:pos:R:3 pbc="T T T"
Zr 3.0807 3.0807 5.1146
Zr 2.0488 2.0488 2.0488
Zr 5.1146 5.1146 5.1146
Zr 5.1146 3.0807 3.0807
Zr 3.0807 5.1146 3.0807
Mn 0.0000 0.0000 0.0000
```

Output
Space-group type: F-43m


# 11
First-principles (PBE) data for an optimized crystal structure of ZrMn2, as listed in the Alexandria database.

extended XYZ file:
```
6
Lattice="2.2812 -3.9511 0.0000 2.2812 3.9511 0.0000 0.0000 0.0000 5.4501" Properties=species:S:1:pos:R:3 pbc="T T T"
Zr 2.2812 1.3170 4.0876
Zr 2.2812 -1.3170 1.3625
Mn 0.0000 0.0000 0.0000
Mn 0.0000 0.0000 2.7251
Mn 2.2812 1.3170 1.3625
Mn 2.2812 -1.3170 4.0876
```

Output
Space-group type: P6_3/mmc


# 12
First-principles (PBE) data for an optimized crystal structure of ZrMn4, as listed in the Alexandria database.

extended XYZ file:
```
5
Lattice="3.8330 0.0000 0.0000 -1.9165 5.0419 -0.0080 0.0000 1.4626 3.5430" Properties=species:S:1:pos:R:3 pbc="T T T"
Mn 0.0000 2.8866 0.8817
Mn 0.0000 4.7188 2.1988
Mn 1.9165 1.7857 1.3362
Mn 1.9165 3.6179 2.6532
Zr 0.0000 0.0000 0.0000
```

Output
Space-group type: I4/mmm
E above lowest polymorph (meV/atom): 0.0


Number 1: calculated formation energy 4.1 kJ per mole of atoms, calculated density 6.74 g/cm³, DFT total energy -8.712 eV/atom. Number 2: calculated formation energy -17.3 kJ per mole of atoms, calculated density 7.70 g/cm³, DFT total energy -9.142 eV/atom. Number 3: calculated formation energy 17.1 kJ per mole of atoms, calculated density 7.10 g/cm³, DFT total energy -8.785 eV/atom. Number 4: calculated formation energy 7.3 kJ per mole of atoms, calculated density 7.14 g/cm³, DFT total energy -8.886 eV/atom. Number 5: calculated formation energy 44.9 kJ per mole of atoms, calculated density 6.59 g/cm³, DFT total energy -8.497 eV/atom. Number 6: calculated formation energy 125.9 kJ per mole of atoms, calculated density 5.00 g/cm³, DFT total energy -7.740 eV/atom. Number 7: calculated formation energy 17.3 kJ per mole of atoms, calculated density 7.79 g/cm³, DFT total energy -8.866 eV/atom. Number 8: calculated formation energy 181.0 kJ per mole of atoms, calculated density 3.93 g/cm³, DFT total energy -6.983 eV/atom. Number 9: calculated formation energy 48.3 kJ per mole of atoms, calculated density 6.27 g/cm³, DFT total energy -8.358 eV/atom. Number 10: calculated formation energy 44.7 kJ per mole of atoms, calculated density 6.17 g/cm³, DFT total energy -8.188 eV/atom. Number 11: calculated formation energy 15.2 kJ per mole of atoms, calculated density 6.80 g/cm³, DFT total energy -8.805 eV/atom. Number 12: calculated formation energy -1.4 kJ per mole of atoms, calculated density 7.54 g/cm³, DFT total energy -9.060 eV/atom.